GGA+U LiFeF4, optimized geometry; space-group type = No. 160; E above lowest polymorph = 67 meV per atom; E_tot = -91.492 eV/cell; calculated volume = 14.391 Å³ per atom; crystal system = trigonal
1.0
6.148 3.550 1.978
-6.148 3.550 1.978
0.000 -7.099 1.978
Li Fe F
3 3 12
direct
0.093 0.093 0.815
0.093 0.815 0.093
0.815 0.093 0.093
0.199 0.715 0.715
0.715 0.199 0.715
0.715 0.715 0.199
0.044 0.414 0.414
0.211 0.957 0.957
0.414 0.044 0.414
0.414 0.414 0.044
0.488 0.761 0.970
0.488 0.970 0.761
0.761 0.488 0.970
0.761 0.970 0.488
0.957 0.211 0.957
0.957 0.957 0.211
0.970 0.488 0.761
0.970 0.761 0.488